The following is a DFT calculation (GGA-PBE) of As2Se after structural relaxation.

Computed properties:
Relative energy among the computed polymorphs in meV/atom: 261
Formation energy (no corrections) in eV per atom: 0.30
Total DFT energy (no corrections) in eV per atom: -3.963
M_tot in μB per cell: 0.0

Cell and atoms, written as CIF:
```
data_As2Se
_space_group_name_H-M_alt 'P 1'
_space_group_IT_number 1
_cell_length_a 6.622
_cell_length_b 6.622
_cell_length_c 6.622
_cell_angle_alpha 90.00
_cell_angle_beta 90.00
_cell_angle_gamma 90.00
loop_
_space_group_symop_operation_xyz
'x,y,z'
loop_
_atom_site_label
_atom_site_type_symbol
_atom_site_fract_x
_atom_site_fract_y
_atom_site_fract_z
Se1 Se 0.500 0.500 0.000
Se2 Se 0.500 0.000 0.500
Se3 Se 0.000 0.000 0.000
Se4 Se 0.000 0.500 0.500
As1 As 0.894 0.106 0.394
As2 As 0.894 0.394 0.894
As3 As 0.606 0.894 0.894
As4 As 0.606 0.606 0.394
As5 As 0.394 0.106 0.106
As6 As 0.394 0.394 0.606
As7 As 0.106 0.606 0.106
As8 As 0.106 0.894 0.606
```

=====

The following is a DFT calculation (GGA-PBE) of ScZnGa after structural relaxation.

Computed properties:
Formation enthalpy at 0 K in eV per atom: -0.3694
Total DFT energy (no corrections) in eV per atom: -3.914
M_tot in μB per cell: 0.0

Cell and atoms, written as CIF:
```
data_ScZnGa
_space_group_name_H-M_alt 'P 1'
_space_group_IT_number 1
_cell_length_a 5.109
_cell_length_b 3.099
_cell_length_c 7.833
_cell_angle_alpha 67.02
_cell_angle_beta 104.84
_cell_angle_gamma 89.69
loop_
_space_group_symop_operation_xyz
'x,y,z'
loop_
_atom_site_label
_atom_site_type_symbol
_atom_site_fract_x
_atom_site_fract_y
_atom_site_fract_z
Zn1 Zn 0.373 0.675 0.610
Zn2 Zn 0.487 0.014 0.277
Ga1 Ga 0.876 0.691 0.602
Ga2 Ga 0.733 0.345 0.945
Sc1 Sc 0.228 0.870 0.923
Sc2 Sc 0.994 0.495 0.292
```

=====

The following is a DFT calculation (GGA-PBE) of InRu3I after structural relaxation.

Computed properties:
Relative energy among the computed polymorphs in meV/atom: 0
Formation energy (no corrections) in eV per atom: 1.56
Total DFT energy (no corrections) in eV per atom: -4.866
M_tot in μB per cell: 0.0

Cell and atoms, written as CIF:
```
data_InRu3I
_space_group_name_H-M_alt 'P 1'
_space_group_IT_number 1
_cell_length_a 4.794
_cell_length_b 4.794
_cell_length_c 4.794
_cell_angle_alpha 90.00
_cell_angle_beta 90.00
_cell_angle_gamma 90.00
loop_
_space_group_symop_operation_xyz
'x,y,z'
loop_
_atom_site_label
_atom_site_type_symbol
_atom_site_fract_x
_atom_site_fract_y
_atom_site_fract_z
Ru1 Ru 0.500 0.000 0.000
Ru2 Ru 0.000 0.500 0.000
Ru3 Ru 0.000 0.000 0.500
I1 I 0.000 0.000 0.000
In1 In 0.500 0.500 0.500
```